VASP calculation (PBE-GGA) on a relaxed Pm2DyY2Er crystal.

Results
ΔE_f, kJ per mole of atoms: 26.9
Total magnetization, μB/atom: 0.00
Volume, Å³/cell: 401.1

Structure (CIF):
```
data_Pm2DyY2Er
_chemical_formula_sum 'Pm4 Dy2 Y4 Er2'
_cell_length_a 6.624
_cell_length_b 17.904
_cell_length_c 3.382
_cell_angle_alpha 90.00
_cell_angle_beta 90.00
_cell_angle_gamma 90.00
_space_group_name_H-M_alt 'P n n m'
_space_group_IT_number 58
loop_
_space_group_symop_operation_xyz
'x,y,z'
'-x,-y,-z'
'-x,-y,z'
'x,y,-z'
'x+1/2,-y+1/2,-z+1/2'
'-x+1/2,y+1/2,z+1/2'
'-x+1/2,y+1/2,-z+1/2'
'x+1/2,-y+1/2,z+1/2'
loop_
_atom_site_label
_atom_site_fract_x
_atom_site_fract_y
_atom_site_fract_z
Pm1 0.234 0.182 0.000
Dy1 0.000 0.500 0.000
Y1 0.230 0.352 0.500
Er1 0.000 0.000 0.000
```